[1]
8
Lattice="5.199 0.000 0.000 2.600 4.503 0.000 2.600 1.501 8.499" Properties=species:S:1:pos:R:3 comment="Tb4Al2CdAg, optimized geometry, DFT PBE" sg="R-3m (166)" magmom_total_mub_per_atom=0.000 crystal_system=trigonal ef_ev_per_atom=-0.346 pbc="T T T"
Tb 5.199 3.002 7.383
Tb 7.799 4.503 3.236
Tb 2.600 1.501 5.263
Tb 5.199 3.002 1.116
Al 7.799 4.503 6.413
Al 2.600 1.501 2.086
Cd 0.000 0.000 0.000
Ag 5.199 3.002 4.249

[2]
10
Lattice="-2.477 2.266 -2.661 -1.376 -3.630 -1.811 -8.411 -0.505 7.400" Properties=species:S:1:pos:R:3 comment="Tb2Al4CdAg3, optimized geometry, DFT PBE" sg="P-4m2 (115)" magmom_total_mub_per_atom=0.000 crystal_system=tetragonal ef_ev_per_atom=-0.300 pbc="T T T"
Tb -3.303 1.009 0.486
Tb -7.034 -2.196 4.678
Al -1.926 -0.682 -2.236
Al 0.000 0.000 0.000
Al -6.665 0.807 3.444
Al -3.672 -1.994 1.720
Cd -6.132 -0.935 1.464
Ag -4.205 -0.253 3.700
Ag -8.528 0.695 5.083
Ag -1.809 -1.882 0.081

[3]
6
Lattice="5.232 0.000 0.000 0.000 5.232 0.000 -2.616 -2.616 5.647" Properties=species:S:1:pos:R:3 comment="ThAlCd2Ag2, optimized geometry, DFT PBE" sg="I4/mmm (139)" magmom_total_mub_per_atom=0.000 crystal_system=tetragonal ef_ev_per_atom=0.322 pbc="T T T"
Th 2.616 2.616 0.000
Al 0.000 0.000 0.000
Cd 0.000 2.616 2.824
Cd 2.616 0.000 2.824
Ag 2.616 2.616 3.205
Ag 0.000 0.000 2.442

[4]
4
Lattice="5.053 0.000 0.000 2.526 4.376 0.000 2.526 1.459 4.126" Properties=species:S:1:pos:R:3 comment="ThAlCdAg, optimized geometry, DFT PBE" sg="F-43m (216)" magmom_total_mub_per_atom=0.000 crystal_system=cubic ef_ev_per_atom=-0.124 pbc="T T T"
Al 5.053 2.917 2.063
Ag 0.000 0.000 0.000
Th 2.526 1.459 1.031
Cd 7.579 4.376 3.094

[5]
10
Lattice="-3.745 2.267 0.178 -0.323 -0.869 4.282 5.659 9.167 2.288" Properties=species:S:1:pos:R:3 comment="Th2Al4CdAg3, optimized geometry, DFT PBE" sg="P-4m2 (115)" magmom_total_mub_per_atom=0.000 crystal_system=tetragonal ef_ev_per_atom=-0.285 pbc="T T T"
Th -0.487 3.378 0.649
Th 4.112 6.488 3.868
Al -2.034 0.699 2.230
Al 0.000 0.000 0.000
Al 1.768 7.030 1.561
Al 1.857 2.835 2.957
Cd 0.796 5.282 3.374
Ag 2.829 4.584 1.144
Ag 3.056 9.117 2.081
Ag 0.569 0.748 2.436

[6]
8
Lattice="-2.876 -2.332 3.573 1.308 -4.674 1.707 4.132 1.172 7.796" Properties=species:S:1:pos:R:3 comment="Tm4AlCd2Ag, optimized geometry, DFT PBE" sg="R-3m (166)" magmom_total_mub_per_atom=0.000 crystal_system=trigonal ef_ev_per_atom=-0.328 pbc="T T T"
Tm 3.027 -1.601 8.801
Tm 0.175 -5.692 7.541
Tm 2.389 -0.141 5.535
Tm -0.463 -4.232 4.275
Al 0.000 0.000 0.000
Cd 1.934 -4.366 9.822
Cd 0.630 -1.467 3.254
Ag 1.282 -2.917 6.538

[7]
8
Lattice="-2.455 4.475 -0.336 -2.544 1.207 -4.271 -8.561 -1.655 1.567" Properties=species:S:1:pos:R:3 comment="Tm4AlCdAg2, optimized geometry, DFT PBE" sg="R-3m (166)" magmom_total_mub_per_atom=0.000 crystal_system=trigonal ef_ev_per_atom=-0.333 pbc="T T T"
Tm -9.331 0.701 -0.372
Tm -7.620 4.333 -3.427
Tm -5.939 -0.305 0.387
Tm -4.229 3.327 -2.668
Al -6.780 2.014 -1.520
Cd 0.000 0.000 0.000
Ag -10.179 3.016 -2.276
Ag -3.381 1.012 -0.764

[8]
8
Lattice="-2.983 -3.871 -1.734 1.569 -2.884 -4.015 3.364 -7.601 3.425" Properties=species:S:1:pos:R:3 comment="Y4Al2CdAg, optimized geometry, DFT PBE" sg="R-3m (166)" magmom_total_mub_per_atom=0.000 crystal_system=trigonal ef_ev_per_atom=-0.379 pbc="T T T"
Y 2.390 -9.152 0.809
Y 0.044 -8.790 -3.717
Y 1.905 -5.566 1.393
Y -0.441 -5.204 -3.133
Al 1.475 -10.786 -1.724
Al 0.474 -3.570 -0.599
Cd 0.000 0.000 0.000
Ag 0.975 -7.178 -1.162

[9]
10
Lattice="-2.293 -3.453 -1.050 3.591 -2.057 -1.075 0.953 -3.831 10.519" Properties=species:S:1:pos:R:3 comment="Y2Al4CdAg3, optimized geometry, DFT PBE" sg="P-4m2 (115)" magmom_total_mub_per_atom=0.000 crystal_system=tetragonal ef_ev_per_atom=-0.305 pbc="T T T"
Y -0.912 -2.668 2.059
Y 2.514 -3.919 7.398
Al 0.649 -2.755 -1.062
Al 0.000 0.000 0.000
Al -0.531 -4.199 6.264
Al 2.133 -2.387 3.193
Cd 1.126 -4.671 4.197
Ag 0.476 -1.916 5.260
Ag -0.321 -5.046 8.589
Ag 1.923 -1.541 0.868

[10]
9
Lattice="4.878 0.000 0.000 0.000 4.878 0.000 0.000 0.000 7.788" Properties=species:S:1:pos:R:3 comment="YAl2CdAg5, optimized geometry, DFT PBE" sg="P4/mmm (123)" magmom_total_mub_per_atom=0.000 crystal_system=tetragonal ef_ev_per_atom=-0.018 pbc="T T T"
Y 0.000 0.000 3.894
Al 2.439 2.439 1.247
Al 2.439 2.439 6.541
Cd 0.000 0.000 0.000
Ag 0.000 2.439 2.096
Ag 2.439 0.000 2.096
Ag 0.000 2.439 5.692
Ag 2.439 0.000 5.692
Ag 2.439 2.439 3.894

[11]
8
Lattice="-3.590 1.784 -3.343 -3.289 -3.325 -2.317 -7.810 0.455 4.555" Properties=species:S:1:pos:R:3 comment="Y4AlCd2Ag, optimized geometry, DFT PBE" sg="R-3m (166)" magmom_total_mub_per_atom=0.000 crystal_system=trigonal ef_ev_per_atom=-0.357 pbc="T T T"
Y -9.421 -0.178 1.872
Y -8.940 -1.179 -3.253
Y -5.749 0.093 2.149
Y -5.269 -0.907 -2.976
Al 0.000 0.000 0.000
Cd -11.027 -0.812 -0.817
Cd -3.663 -0.273 -0.288
Ag -7.345 -0.543 -0.552

[12]
4
Lattice="-3.916 -2.500 -0.640 -0.796 -2.098 -4.118 0.229 -4.672 -0.334" Properties=species:S:1:pos:R:3 comment="AlZnCdAg, optimized geometry, DFT PBE" sg="F-43m (216)" magmom_total_mub_per_atom=0.000 crystal_system=cubic ef_ev_per_atom=0.129 pbc="T T T"
Zn 0.000 0.000 0.000
Al -1.121 -2.318 -1.273
Ag -2.241 -4.635 -2.546
Cd -3.362 -6.953 -3.819

In order of appearance, ρ = 7.59; 6.95; 7.52; 8.73; 7.92; 8.94; 9.04; 5.30; 5.83; 7.12; 5.90; 7.12 Mg/m³.